The following is a PBE-GGA calculation of a relaxed structure of WAu2, from Alexandria via LeMat-Bulk.

Geometry as POSCAR:
```
WAu2
1.0
5.5523 0.0000 0.0000
-2.7762 4.8085 0.0000
0.0000 0.0000 8.3109
W Au
4 8
direct
0.3333 0.6667 0.1039 W
0.3333 0.6667 0.3961 W
0.6667 0.3333 0.6039 W
0.6667 0.3333 0.8961 W
0.0000 0.0000 0.0000 Au
0.0000 0.0000 0.5000 Au
0.1744 0.3489 0.7500 Au
0.1744 0.8256 0.7500 Au
0.3489 0.1744 0.2500 Au
0.6511 0.8256 0.7500 Au
0.8256 0.1744 0.2500 Au
0.8256 0.6511 0.2500 Au
```

Summary:
Energy of formation from the pure elements: 0.819 eV per atom
Electronic total energy: -5.6831 eV/atom
Crystal system: hexagonal